1.
Material: Sc4ZnAu
Method: DFT, PBE
State: optimized geometry

Values from the calculation:
D(E_F): 7.01 states/eV/cell
calculated volume: 23.7 Å³/atom
calculated total energy: -5.171 eV/atom
space-group type: P4/mmm, No. 123
crystal system: tetragonal
polymorph energy (0 for the lowest one): 0.00 eV per formula unit

Cell lengths 4.6346, 4.6346, 6.6065 Å; angles 90.00, 90.00, 90.00 degrees
Fractional coordinates of all 6 atoms:
Sc: 0.0000 0.5000 0.2487
Sc: 0.0000 0.5000 0.7513
Sc: 0.5000 0.0000 0.2487
Sc: 0.5000 0.0000 0.7513
Zn: 0.0000 0.0000 0.0000
Au: 0.5000 0.5000 0.5000

2.
Material: BeNbB2S
Method: DFT, PBE
State: optimized geometry

Values from the calculation:
D(E_F): 4.84 states/eV/cell
calculated volume: 17.5 Å³/atom
energy relative to the elements, uncorrected: 181 kJ/mol of atoms
calculated total energy: -4.375 eV/atom
space-group type: P4/mmm, No. 123
crystal system: tetragonal

Cell lengths 4.2591, 4.2591, 4.8245 Å; angles 90.00, 90.00, 90.00 degrees
Fractional coordinates of all 5 atoms:
Be: 0.0000 0.0000 0.0000
Nb: 0.0000 0.0000 0.5000
B: 0.0000 0.5000 0.5000
B: 0.5000 0.0000 0.5000
S: 0.5000 0.5000 0.0000

3.
Material: NdAlI
Method: DFT, PBE
State: optimized geometry

Values from the calculation:
D(E_F): 11.51 states/eV/cell
calculated volume: 32.7 Å³/atom
energy relative to the elements, uncorrected: -68 kJ/mol of atoms
calculated total energy: -4.055 eV/atom
space-group type: Pnma, No. 62
crystal system: orthorhombic

Cell lengths 24.2857, 4.0238, 4.0170 Å; angles 90.00, 90.00, 90.00 degrees
Fractional coordinates of all 12 atoms:
Nd: 0.1049 0.2500 0.2494
Nd: 0.3951 0.7500 0.7494
Nd: 0.6049 0.2500 0.2506
Nd: 0.8951 0.7500 0.7506
Al: 0.9998 0.2500 0.7499
Al: 0.0002 0.7500 0.2501
Al: 0.4998 0.2500 0.7501
Al: 0.5002 0.7500 0.2499
I: 0.1715 0.7500 0.7493
I: 0.3285 0.2500 0.2493
I: 0.6715 0.7500 0.7507
I: 0.8285 0.2500 0.2507

4.
Material: AlHgP2Os
Method: DFT, PBE
State: optimized geometry

Values from the calculation:
D(E_F): 3.97 states/eV/cell
calculated volume: 21.0 Å³/atom
calculated total energy: -4.825 eV/atom
space-group type: P4/mmm, No. 123
crystal system: tetragonal
polymorph energy (0 for the lowest one): 0.00 eV per formula unit

Cell lengths 4.5814, 4.5814, 5.0029 Å; angles 90.00, 90.00, 90.00 degrees
Fractional coordinates of all 5 atoms:
Al: 0.0000 0.0000 0.0000
Hg: 0.5000 0.5000 0.0000
P: 0.0000 0.5000 0.5000
P: 0.5000 0.0000 0.5000
Os: 0.0000 0.0000 0.5000

5.
Material: Ac2PuPb
Method: DFT, PBE
State: optimized geometry

Values from the calculation:
D(E_F): 13.31 states/eV/cell
calculated volume: 37.6 Å³/atom
calculated total energy: -6.332 eV/atom
space-group type: R-3m, No. 166
crystal system: trigonal
polymorph energy (0 for the lowest one): 1.39 eV per formula unit

Cell lengths 12.9913, 12.9913, 12.9913 Å; angles 16.28, 16.28, 16.28 degrees
Fractional coordinates of all 4 atoms:
Ac: 0.0909 0.0909 0.0909
Ac: 0.9091 0.9091 0.9091
Pu: 0.0000 0.0000 0.0000
Pb: 0.5000 0.5000 0.5000

6.
Material: CsZrB
Method: DFT, PBE
State: optimized geometry

Values from the calculation:
D(E_F): 12.51 states/eV/cell
calculated volume: 31.6 Å³/atom
calculated total energy: -4.886 eV/atom
space-group type: Pnma, No. 62
crystal system: orthorhombic
polymorph energy (0 for the lowest one): 0.40 eV per formula unit

Cell lengths 18.3359, 6.0036, 3.4437 Å; angles 90.00, 90.00, 90.00 degrees
Fractional coordinates of all 12 atoms:
Cs: 0.1588 0.2500 0.0064
Cs: 0.3412 0.7500 0.5064
Cs: 0.6588 0.2500 0.4936
Cs: 0.8412 0.7500 0.9936
Zr: 0.0413 0.7500 0.0000
Zr: 0.4587 0.2500 0.5000
Zr: 0.5413 0.7500 0.5000
Zr: 0.9587 0.2500 0.0000
B: 0.0000 0.0000 0.5000
B: 0.0000 0.5000 0.5000
B: 0.5000 0.0000 0.0000
B: 0.5000 0.5000 0.0000

7.
Material: Na2SrPS4
Method: DFT, PBE
State: optimized geometry

Values from the calculation:
D(E_F): 5.35 states/eV/cell
calculated volume: 28.4 Å³/atom
energy relative to the elements, uncorrected: -85 kJ/mol of atoms
calculated total energy: -4.158 eV/atom
space-group type: I-4, No. 82
crystal system: tetragonal

Cell lengths 7.2475, 7.2475, 7.2475 Å; angles 128.38, 128.38, 76.01 degrees
Fractional coordinates of all 8 atoms:
Na: 0.0000 0.0000 0.0000
Na: 0.7500 0.2500 0.5000
Sr: 0.5000 0.5000 0.0000
P: 0.2500 0.7500 0.5000
S: 0.1400 0.0492 0.4823
S: 0.3422 0.8600 0.9092
S: 0.5670 0.6578 0.5177
S: 0.9508 0.4330 0.0908

8.
Material: K3RbPb
Method: DFT, PBE
State: optimized geometry

Values from the calculation:
D(E_F): 17.41 states/eV/cell
calculated volume: 59.6 Å³/atom
calculated total energy: -1.642 eV/atom
space-group type: C2/c, No. 15
crystal system: monoclinic
polymorph energy (0 for the lowest one): 0.00 eV per formula unit

Cell lengths 11.1881, 11.1881, 9.6814 Å; angles 94.06, 94.06, 98.03 degrees
Fractional coordinates of all 20 atoms:
K: 0.0222 0.6458 0.4071
K: 0.1036 0.6621 0.9011
K: 0.2832 0.3380 0.9110
K: 0.3380 0.2832 0.4110
K: 0.3379 0.8964 0.5989
K: 0.3542 0.9778 0.0929
K: 0.6458 0.0222 0.9071
K: 0.6621 0.1036 0.4011
K: 0.6620 0.7168 0.5890
K: 0.7168 0.6620 0.0890
K: 0.8964 0.3379 0.0989
K: 0.9778 0.3542 0.5929
Rb: 0.9997 0.0003 0.2500
Rb: 0.0003 0.9997 0.7500
Rb: 0.3969 0.6031 0.2500
Rb: 0.6031 0.3969 0.7500
Pb: 0.2913 0.5565 0.6280
Pb: 0.4435 0.7087 0.8720
Pb: 0.5565 0.2913 0.1280
Pb: 0.7087 0.4435 0.3720

9.
Material: Pr2Ge3Au
Method: DFT, PBE
State: optimized geometry

Values from the calculation:
D(E_F): 4.12 states/eV/cell
calculated volume: 23.3 Å³/atom
calculated total energy: -5.192 eV/atom
space-group type: Fmmm, No. 69
crystal system: orthorhombic

Cell lengths 8.6500, 8.6344, 6.1107 Å; angles 69.43, 69.16, 41.41 degrees
Fractional coordinates of all 12 atoms:
Pr: 0.2432 0.7568 0.7568
Pr: 0.2500 0.2500 0.2500
Pr: 0.7500 0.7500 0.7500
Pr: 0.7568 0.2432 0.2432
Ge: 0.1654 0.1654 0.8346
Ge: 0.1677 0.6666 0.3334
Ge: 0.3334 0.8323 0.1677
Ge: 0.6666 0.1677 0.8323
Ge: 0.8323 0.3334 0.6666
Ge: 0.8346 0.8346 0.1654
Au: 0.3334 0.3334 0.6666
Au: 0.6666 0.6666 0.3334

10.
Material: Ir3Ru
Method: DFT, PBE
State: optimized geometry

Values from the calculation:
D(E_F): 2.69 states/eV/cell
calculated volume: 14.4 Å³/atom
calculated total energy: -8.989 eV/atom
space-group type: R-3m, No. 166
crystal system: trigonal

Cell lengths 9.0819, 9.0819, 9.0819 Å; angles 17.24, 17.24, 17.24 degrees
Fractional coordinates of all 4 atoms:
Ir: 0.0000 0.0000 0.0000
Ir: 0.2488 0.2488 0.2488
Ir: 0.7512 0.7512 0.7512
Ru: 0.5000 0.5000 0.5000

11.
Material: Al2CdCo
Method: DFT, PBE
State: optimized geometry

Values from the calculation:
D(E_F): 2.41 states/eV/cell
calculated volume: 15.5 Å³/atom
calculated total energy: -3.864 eV/atom
space-group type: Pmm2, No. 25
crystal system: orthorhombic

Cell lengths 2.9603, 4.4011, 4.7638 Å; angles 90.00, 90.00, 90.00 degrees
Fractional coordinates of all 4 atoms:
Al: 0.0000 0.0000 0.0000
Al: 0.5000 0.5000 0.1659
Cd: 0.0000 0.5000 0.6480
Co: 0.5000 0.0000 0.4178

12.
Material: ErScAu2
Method: DFT, PBE
State: optimized geometry

Values from the calculation:
D(E_F): 2.26 states/eV/cell
calculated volume: 21.2 Å³/atom
calculated total energy: -5.199 eV/atom
space-group type: P4/mmm, No. 123
crystal system: tetragonal
polymorph energy (0 for the lowest one): 0.00 eV per formula unit

Cell lengths 3.4751, 3.4751, 7.0111 Å; angles 90.00, 90.00, 90.00 degrees
Fractional coordinates of all 4 atoms:
Er: 0.0000 0.0000 0.0000
Sc: 0.0000 0.0000 0.5000
Au: 0.5000 0.5000 0.2684
Au: 0.5000 0.5000 0.7316

The highest calculated volume belongs to which entry? K3RbPb

Which of these has the lowest calculated volume? Ir3Ru

Please write out number 12 again, unchanged.
Material: ErScAu2
Method: DFT, PBE
State: optimized geometry

Values from the calculation:
D(E_F): 2.26 states/eV/cell
calculated volume: 21.2 Å³/atom
calculated total energy: -5.199 eV/atom
space-group type: P4/mmm, No. 123
crystal system: tetragonal
polymorph energy (0 for the lowest one): 0.00 eV per formula unit

Cell lengths 3.4751, 3.4751, 7.0111 Å; angles 90.00, 90.00, 90.00 degrees
Fractional coordinates of all 4 atoms:
Er: 0.0000 0.0000 0.0000
Sc: 0.0000 0.0000 0.5000
Au: 0.5000 0.5000 0.2684
Au: 0.5000 0.5000 0.7316